This record from the Alexandria database describes Ta2TiNi2 after structural relaxation. The functional is PBE-GGA.

Density of states at the Fermi level, states/eV/atom: 1.27
E above lowest polymorph, eV/atom: 0.000
ΔH_f (0 K), eV/atom: -0.15

Lattice parameters (Å, degrees): 6.9723 6.9723 3.1254 90.00 90.00 90.00
Last column: nearest neighbours and their distance in Å.
Fractional positions:
Ta (0.1743, 0.3257, 0.0000)  6 Ni 2.54-2.62
Ta (0.3257, 0.8257, 0.0000)  6 Ni 2.54-2.62
Ta (0.6743, 0.1743, 0.0000)  6 Ni 2.54-2.62
Ta (0.8257, 0.6743, 0.0000)  6 Ni 2.54-2.62
Ti (0.0000, 0.0000, 0.5000)  4 Ni 2.76, 8 Ta 3.01
Ti (0.5000, 0.5000, 0.5000)  4 Ni 2.76, 8 Ta 3.01
Ni (0.1233, 0.6233, 0.5000)  1 Ni 2.43, 6 Ta 2.54-2.62
Ni (0.3767, 0.1233, 0.5000)  1 Ni 2.43, 6 Ta 2.54-2.62
Ni (0.6233, 0.8767, 0.5000)  1 Ni 2.43, 6 Ta 2.54-2.62
Ni (0.8767, 0.3767, 0.5000)  1 Ni 2.43, 6 Ta 2.54-2.62



This record from the Alexandria database describes PPt2W after structural relaxation. The functional is PBE-GGA.

Density of states at the Fermi level, states/eV/atom: 0.67
ΔH_f (0 K), eV/atom: -0.04

Lattice parameters (Å, degrees): 2.9046 4.1433 5.2072 90.00 104.74 90.00
Last column: nearest neighbours and their distance in Å.
Fractional positions:
P (0.0000, 0.0000, 0.0000)  4 Pt 2.51, 2 W 2.60
Pt (0.3658, 0.5000, 0.2406)  2 P 2.51, 2 Pt 2.61-2.81
Pt (0.6342, 0.5000, 0.7594)  2 P 2.51, 2 Pt 2.61-2.81
W (0.0000, 0.0000, 0.5000)  2 P 2.60, 8 Pt 2.82-2.87, 2 W 2.90



This record from the Alexandria database describes SrMgTc2 after structural relaxation. The functional is PBE-GGA.

Density of states at the Fermi level, states/eV/atom: 1.23
ΔH_f (0 K), eV/atom: 0.62

Lattice parameters (Å, degrees): 10.0115 10.0115 10.0115 17.95 17.95 17.95
Last column: nearest neighbours and their distance in Å.
Fractional positions:
Sr (0.0000, 0.0000, 0.0000)  6 Sr 3.12, 3 Tc 3.14
Mg (0.2245, 0.2245, 0.2245)  3 Tc 2.91, 6 Mg 3.12
Tc (0.4805, 0.4805, 0.4805)  3 Tc 2.53
Tc (0.7538, 0.7538, 0.7538)  3 Tc 2.53



This record from the Alexandria database describes Y2CrIr after structural relaxation. The functional is PBE-GGA.

Density of states at the Fermi level, states/eV/atom: 1.16
ΔH_f (0 K), eV/atom: 0.02

Lattice parameters (Å, degrees): 3.1350 3.1350 8.6561 90.00 90.00 90.00
Last column: nearest neighbours and their distance in Å.
Fractional positions:
Y (0.0000, 0.0000, 0.0000)  4 Ir 3.05, 4 Y 3.14, 1 Cr 3.35
Y (0.5000, 0.5000, 0.3744)  4 Cr 3.03, 4 Y 3.14, 1 Ir 3.32
Cr (0.0000, 0.0000, 0.6128)  4 Ir 2.55
Ir (0.5000, 0.5000, 0.7584)  4 Cr 2.55